[1]
The following is a DFT calculation (PBE) of a geometry-optimized SrTa2Pt structure.

Computed properties:
Density: 13.09 g/cm³
Calculated formation energy: 0.62 eV per atom

Cell lengths 2.8754, 4.9801, 5.7084 Å; angles 90.00, 90.00, 90.00 degrees
Closest atoms and distances in Å follow each position.
Fractional coordinates of all 4 atoms:
Sr 0.0000 0.0000 0.0000  2 Pt 2.85, 2 Sr 2.88
Ta 0.5000 0.5000 0.2633  4 Ta 2.70-3.01
Ta 0.5000 0.5000 0.7367  4 Ta 2.70-3.01
Pt 0.0000 0.0000 0.5000  2 Sr 2.85, 2 Pt 2.88, 8 Ta 3.18

[2]
The following is a DFT calculation (PBE) of a geometry-optimized AcGaBRh3 structure.

Computed properties:
Density: 9.49 g/cm³
Calculated formation energy: -0.66 eV per atom

Cell lengths 6.8412, 6.8412, 5.8968 Å; angles 90.00, 90.00, 128.62 degrees
Closest atoms and distances in Å follow each position.
Fractional coordinates of all 12 atoms:
Ac 0.2496 0.7504 0.7500  4 Rh 3.05-3.06, 1 B 3.32, 2 Ga 3.40
Ac 0.7504 0.2496 0.2500  4 Rh 3.05-3.06, 1 B 3.32, 2 Ga 3.40
Ga 0.1128 0.8872 0.2500  5 Rh 2.47-2.54
Ga 0.8872 0.1128 0.7500  5 Rh 2.47-2.54
B 0.4811 0.5189 0.2500  5 Rh 2.07
B 0.5189 0.4811 0.7500  5 Rh 2.07
Rh 0.2583 0.2583 0.0000  2 B 2.07
Rh 0.2583 0.2583 0.5000  2 B 2.07
Rh 0.3129 0.6871 0.2500  1 B 2.07
Rh 0.6871 0.3129 0.7500  1 B 2.07
Rh 0.7417 0.7417 0.0000  2 B 2.07
Rh 0.7417 0.7417 0.5000  2 B 2.07

[3]
The following is a DFT calculation (PBE) of a geometry-optimized NiP structure.

Computed properties:
Density: 6.12 g/cm³
Calculated formation energy: -0.11 eV per atom

Cell lengths 4.6008, 4.6008, 4.6008 Å; angles 90.00, 90.00, 90.00 degrees
Closest atoms and distances in Å follow each position.
Fractional coordinates of all 8 atoms:
Ni 0.0759 0.4241 0.5759  6 P 2.39-2.43
Ni 0.4241 0.5759 0.0759  6 P 2.39-2.43
Ni 0.5759 0.0759 0.4241  6 P 2.39-2.43
Ni 0.9241 0.9241 0.9241  6 P 2.39-2.43
P 0.0800 0.9200 0.4200  6 Ni 2.39-2.43
P 0.4200 0.0800 0.9200  6 Ni 2.39-2.43
P 0.5800 0.5800 0.5800  6 Ni 2.39-2.43
P 0.9200 0.4200 0.0800  6 Ni 2.39-2.43

Which value of density does entry 3 give? 6.12 g/cm³

The highest calculated formation energy belongs to which entry? SrTa2Pt